# 1
# Ca2Ni3Ge5 | Alexandria | PBE | optimized geometry
# **Calculated volume**: 169.02 Å³/f.u.
# **Formation enthalpy at 0 K**: -432 meV/atom
# **Magnetic moment**: 0.000 μB/atom
data_Ca2Ni3Ge5
_chemical_formula_sum 'Ca8 Ni12 Ge20'
_space_group_name_H-M_alt 'C m c 21'
_space_group_IT_number 36
_space_group_name_Hall 'C 2c -2'
_cell_length_a 4.129
_cell_length_b 24.441
_cell_length_c 6.698
_cell_angle_alpha 90.00
_cell_angle_beta 90.00
_cell_angle_gamma 90.00
loop_
_atom_site_label
_atom_site_fract_x
_atom_site_fract_y
_atom_site_fract_z
Ca1 0.000 0.023 0.000
Ca2 0.000 0.325 0.000
Ni1 0.000 0.109 0.267
Ni2 0.000 0.279 0.491
Ni3 0.000 0.445 0.213
Ge1 0.000 0.096 0.628
Ge2 0.000 0.205 0.193
Ge3 0.000 0.211 0.787
Ge4 0.000 0.381 0.515
Ge5 0.000 0.449 0.835


# 2
# CaNi4Ge12 | Alexandria | PBE | optimized geometry
# **Calculated volume**: 299.55 Å³/f.u.
# **Formation enthalpy at 0 K**: -156 meV/atom
# **Magnetic moment**: 0.000 μB/atom
data_CaNi4Ge12
_chemical_formula_sum 'Ca2 Ni8 Ge24'
_space_group_name_H-M_alt 'I m -3'
_space_group_IT_number 204
_space_group_name_Hall '-I 2 2 3'
_cell_length_a 8.430
_cell_length_b 8.430
_cell_length_c 8.430
_cell_angle_alpha 90.00
_cell_angle_beta 90.00
_cell_angle_gamma 90.00
loop_
_atom_site_label
_atom_site_fract_x
_atom_site_fract_y
_atom_site_fract_z
Ca1 0.000 0.000 0.000
Ni1 0.250 0.250 0.250
Ge1 0.000 0.347 0.162


# 3
# Ca3NiGe4 | Alexandria | PBE | optimized geometry
# **Calculated volume**: 197.67 Å³/f.u.
# **Formation enthalpy at 0 K**: -373 meV/atom
# **Magnetic moment**: 0.000 μB/atom
data_Ca3NiGe4
_chemical_formula_sum 'Ca6 Ni2 Ge8'
_space_group_name_H-M_alt 'I m m m'
_space_group_IT_number 71
_space_group_name_Hall '-I 2 2'
_cell_length_a 4.634
_cell_length_b 5.333
_cell_length_c 15.996
_cell_angle_alpha 90.00
_cell_angle_beta 90.00
_cell_angle_gamma 90.00
loop_
_atom_site_label
_atom_site_fract_x
_atom_site_fract_y
_atom_site_fract_z
Ca1 0.000 0.000 0.000
Ca2 0.000 0.500 0.208
Ni1 0.000 0.000 0.500
Ge1 0.000 0.261 0.382


# 4
# Ca2NiGe3 | Alexandria | PBE | optimized geometry
# **Calculated volume**: 130.58 Å³/f.u.
# **Formation enthalpy at 0 K**: -534 meV/atom
# **Magnetic moment**: 0.000 μB/atom
data_Ca2NiGe3
_chemical_formula_sum 'Ca2 Ni1 Ge3'
_space_group_name_H-M_alt 'P m m 2'
_space_group_IT_number 25
_space_group_name_Hall 'P 2 -2'
_cell_length_a 4.131
_cell_length_b 4.366
_cell_length_c 7.240
_cell_angle_alpha 90.00
_cell_angle_beta 90.00
_cell_angle_gamma 90.00
loop_
_atom_site_label
_atom_site_fract_x
_atom_site_fract_y
_atom_site_fract_z
Ca1 0.000 0.000 0.000
Ca2 0.500 0.000 0.480
Ni1 0.500 0.500 0.168
Ge1 0.000 0.500 0.305
Ge2 0.000 0.500 0.650
Ge3 0.500 0.500 0.850


# 5
# CaNi3Ge | Alexandria | PBE | optimized geometry
# **Calculated volume**: 88.07 Å³/f.u.
# **Formation enthalpy at 0 K**: 29 meV/atom
# **Magnetic moment**: 0.000 μB/atom
data_CaNi3Ge
_chemical_formula_sum 'Ca1 Ni3 Ge1'
_space_group_name_H-M_alt 'P m -3 m'
_space_group_IT_number 221
_space_group_name_Hall '-P 4 2 3'
_cell_length_a 4.449
_cell_length_b 4.449
_cell_length_c 4.449
_cell_angle_alpha 90.00
_cell_angle_beta 90.00
_cell_angle_gamma 90.00
loop_
_atom_site_label
_atom_site_fract_x
_atom_site_fract_y
_atom_site_fract_z
Ca1 0.000 0.000 0.000
Ni1 0.000 0.500 0.500
Ge1 0.500 0.500 0.500


# 6
# Ca2Ni2Ge | Alexandria | PBE | optimized geometry
# **Calculated volume**: 96.00 Å³/f.u.
# **Formation enthalpy at 0 K**: -240 meV/atom
# **Magnetic moment**: 0.000 μB/atom
data_Ca2Ni2Ge
_chemical_formula_sum 'Ca4 Ni4 Ge2'
_space_group_name_H-M_alt 'P 4/m b m'
_space_group_IT_number 127
_space_group_name_Hall '-P 4 2ab'
_cell_length_a 6.569
_cell_length_b 6.569
_cell_length_c 4.450
_cell_angle_alpha 90.00
_cell_angle_beta 90.00
_cell_angle_gamma 90.00
loop_
_atom_site_label
_atom_site_fract_x
_atom_site_fract_y
_atom_site_fract_z
Ca1 0.180 0.320 0.000
Ni1 0.129 0.629 0.500
Ge1 0.000 0.000 0.500